Entry 1:
Material: CaDyAgRh
Method: DFT, PBE
State: relaxed

Cell: 4.9869 4.9869 4.9869 Å, 60.00 60.00 60.00°
Atoms (fractional coordinates):
Dy: 0.0000 0.0000 0.0000
Rh: 0.7500 0.7500 0.7500
Ag: 0.2500 0.2500 0.2500
Ca: 0.5000 0.5000 0.5000

Results
- ρ: 7.8 Mg/m³
- Formation enthalpy at 0 K: -445 meV per atom
- Polymorph energy (0 for the lowest one): 0.27 eV/f.u.
- Space group: F-43m

Entry 2:
Material: CePmTm2Tl4
Method: DFT, PBE
State: relaxed

Cell: 5.4055 5.4055 9.3885 Å, 73.27 73.27 60.00°
Atoms (fractional coordinates):
Tm: 0.2501 0.2501 0.2497
Tm: 0.7499 0.7499 0.7503
Ce: 0.5000 0.5000 0.5000
Tl: 0.8754 0.8754 0.3739
Tl: 0.6251 0.6251 0.1246
Tl: 0.3749 0.3749 0.8754
Tl: 0.1246 0.1246 0.6261
Pm: 0.0000 0.0000 0.0000

Results
- ρ: 10.7 Mg/m³
- Formation enthalpy at 0 K: -299 meV per atom
- Space group: R-3m

Entry 3:
Material: PmY2In2Hg2
Method: DFT, PBE
State: relaxed

Cell: 4.9524 4.9524 9.4318 Å, 74.78 74.78 60.00°
Atoms (fractional coordinates):
Pm: 0.0000 0.0000 0.0000
Hg: 0.5724 0.5724 0.2827
Hg: 0.4276 0.4276 0.7173
Y: 0.8684 0.8684 0.3949
Y: 0.1316 0.1316 0.6051
In: 0.2672 0.2672 0.1983
In: 0.7328 0.7328 0.8017

Results
- ρ: 8.3 Mg/m³
- Formation enthalpy at 0 K: -301 meV per atom
- Space group: R-3m

Entry 4:
Material: TlSi2As
Method: DFT, PBE
State: relaxed

Cell: 4.4465 4.0283 5.0542 Å, 78.43 90.00 90.00°
Atoms (fractional coordinates):
Si: 0.5000 0.2316 0.1438
Si: 0.0000 0.0062 0.0234
Tl: 0.0000 0.4739 0.5020
As: 0.5000 0.7883 0.8308

Results
- ρ: 6.3 Mg/m³
- Polymorph energy (0 for the lowest one): 0.46 eV/f.u.
- Space group: Pm
- Formation energy without anion corrections: 1.45 eV/f.u.

Entry 5:
Material: CsLu2Cu3Se5
Method: DFT, PBE
State: relaxed

Cell: 7.6257 7.6257 17.1582 Å, 90.00 90.00 148.82°
Atoms (fractional coordinates):
Se: 0.4363 0.5637 0.8875
Se: 0.8293 0.1707 0.0695
Se: 0.7609 0.2391 0.7500
Se: 0.2391 0.7609 0.2500
Se: 0.5637 0.4363 0.3875
Se: 0.8293 0.1707 0.4305
Se: 0.4363 0.5637 0.6125
Se: 0.1707 0.8293 0.9305
Se: 0.5637 0.4363 0.1125
Se: 0.1707 0.8293 0.5695
Cu: 0.5826 0.4174 0.9672
Cu: 0.4174 0.5826 0.4672
Cu: 0.4174 0.5826 0.0328
Cu: 0.3437 0.6563 0.7500
Cu: 0.6563 0.3437 0.2500
Cu: 0.5826 0.4174 0.5328
Cs: 0.9394 0.0606 0.2500
Cs: 0.0606 0.9394 0.7500
Lu: 0.8075 0.1925 0.9082
Lu: 0.1925 0.8075 0.0918
Lu: 0.1925 0.8075 0.4082
Lu: 0.8075 0.1925 0.5918

Results
- ρ: 6.9 Mg/m³
- Space group: Cmcm
- Formation energy without anion corrections: -12.08 eV/f.u.

Entry 6:
Material: AgHgMo2
Method: DFT, PBE
State: relaxed

Cell: 2.8447 2.8447 9.4803 Å, 90.00 90.00 110.67°
Atoms (fractional coordinates):
Mo: 0.0000 0.0000 0.0227
Mo: 0.5000 0.5000 0.2342
Ag: 0.0000 0.0000 0.4873
Hg: 0.5000 0.5000 0.7559

Results
- ρ: 11.6 Mg/m³
- Formation enthalpy at 0 K: 330 meV per atom
- Space group: Cmm2

Entry 7:
Material: BaTiHg2Sb
Method: DFT, PBE
State: relaxed

Cell: 5.4251 5.4251 5.3166 Å, 90.00 90.00 90.00°
Atoms (fractional coordinates):
Hg: 0.5000 0.0000 0.0000
Hg: 0.0000 0.5000 0.0000
Sb: 0.0000 0.0000 0.5000
Ba: 0.5000 0.5000 0.5000
Ti: 0.0000 0.0000 0.0000

Results
- ρ: 7.5 Mg/m³
- Space group: P4/mmm
- Formation energy without anion corrections: -1.76 eV/f.u.

Entry 8:
Material: LiSi2Pt
Method: DFT, PBE
State: relaxed

Cell: 5.5742 5.5742 5.5742 Å, 151.73 131.74 56.88°
Atoms (fractional coordinates):
Pt: 0.2500 0.7500 0.5000
Li: 0.7500 0.2500 0.5000
Si: 0.4653 0.4653 0.0000
Si: 0.0347 0.0347 0.0000

Results
- ρ: 7.0 Mg/m³
- Polymorph energy (0 for the lowest one): 0.89 eV/f.u.
- Space group: Immm
- Formation energy without anion corrections: -1.06 eV/f.u.

Entry 9:
Material: Zr2CdAgOs
Method: DFT, PBE
State: relaxed

Cell: 5.0621 4.7905 5.0621 Å, 90.00 90.00 90.00°
Atoms (fractional coordinates):
Zr: 0.0000 0.0000 0.5000
Zr: 0.5000 0.0000 0.0000
Os: 0.5000 0.5000 0.5000
Ag: 0.0000 0.0000 0.0000
Cd: 0.0000 0.5000 0.0000

Results
- ρ: 8.0 Mg/m³
- Formation enthalpy at 0 K: 1440 meV per atom
- Space group: P4/mmm